The following is a DFT calculation (GGA+U) of a relaxed structure of MgMnAg2F6.

Unit cell a=5.7428 b=5.7734 c=8.0310 alpha=90.00 beta=90.18 gamma=90.00
Positions (direct):
1 Mg 0.5000 0.0000 0.5000
2 Mg 0.0000 0.5000 0.0000
3 Mn 0.5000 0.0000 0.0000
4 Mn 0.0000 0.5000 0.5000
5 Ag 0.0078 0.0262 0.2503
6 Ag 0.5078 0.4738 0.7503
7 Ag 0.9922 0.9738 0.7497
8 Ag 0.4922 0.5262 0.2497
9 F 0.2125 0.7722 0.0414
10 F 0.7125 0.7278 0.5414
11 F 0.7875 0.2278 0.9586
12 F 0.2875 0.2722 0.4586
13 F 0.2288 0.7852 0.4567
14 F 0.7288 0.7148 0.9567
15 F 0.7712 0.2148 0.5433
16 F 0.2712 0.2852 0.0433
17 F 0.9179 0.4871 0.2456
18 F 0.4179 0.0129 0.7456
19 F 0.0821 0.5129 0.7544
20 F 0.5821 0.9871 0.2544

The magnetization comes out at 4.80 μB/f.u. The calculation puts the volume at 13.313 Å³/atom. The total energy is -4.858 eV per atom. The crystal system is monoclinic. The symmetry is P2_1/c.